A plane-wave DFT calculation with PBE-GGA was carried out for a relaxed structure of Rb2InHI6.

Unit cell a=9.108 b=9.108 c=8.238 alpha=56.44 beta=56.44 gamma=90.00
Fractional coordinates of all 10 atoms:
I 0.314 0.314 0.371
I 0.686 0.686 0.629
I 0.223 0.223 0.000
I 0.777 0.777 0.000
I 0.777 0.223 0.000
I 0.223 0.777 0.000
H 0.500 0.500 0.000
Rb 0.750 0.250 0.500
Rb 0.250 0.750 0.500
In 0.000 0.000 0.000

Summary:
uncorrected energy = -2.47 eV per atom
DOS(E_F) = 0.0 states/eV/f.u.